Crystalline LiTbCdCu at its relaxed geometry. Source: Alexandria, functional GGA-PBE.

a = 6.738 Å, b = 6.738 Å, c = 6.738 Å
α = 90.00°, β = 90.00°, γ = 90.00°
Space group F-43m (No. 216)
Asymmetric unit:
Li 0.000 0.000 0.000
Tb 0.250 0.250 0.750
Cd 0.250 0.250 0.250
Cu 0.000 0.000 0.500

Total DFT energy (no corrections) ... -3.06 eV/atom
Size of the total moment ... 0.01 μB/f.u.
Energy of formation from the pure elements ... -0.1754 eV per atom